DFT (PBE) results for crystalline YB3Mo at its relaxed geometry.

The structure in POSCAR format:
```
YB3Mo
1.0
4.2298 0.0000 0.0000
0.0000 4.2298 0.0000
0.0000 0.0000 4.2298
Y B Mo
1 3 1
Direct
0.0000 0.0000 0.0000
0.0000 0.0000 0.5000
0.0000 0.5000 0.0000
0.5000 0.0000 0.0000
0.5000 0.5000 0.5000
```

Summary:
Fermi-level density of states   12.97 states/eV/cell
DFT formation energy   2513 meV per atom
Uncorrected energy   -24.762 eV/cell
Offset from the most stable computed form   2244.2 meV/atom
Crystal system   cubic